Entry 1:
Ca2MnGaS5, optimized geometry, DFT PBE; SG = Cmc2_1 (36); DOS at the Fermi energy = 3.35 states/eV/cell; uncorrected formation energy = -1241 meV per atom; ρ = 3.20 g/cm3
1.0
3.7022 0.0000 0.0000
-1.8511 8.5807 0.0000
0.0000 0.0000 11.9449
Mn S Ga Ca
2 10 2 4
direct
0.2292 0.4584 0.0374
0.7708 0.5416 0.5374
0.4902 0.9805 0.2753
0.6342 0.2683 0.4841
0.2694 0.5387 0.6722
0.7046 0.4091 0.9090
0.5098 0.0195 0.7753
0.0556 0.1112 0.0544
0.7306 0.4613 0.1722
0.3658 0.7317 0.9841
0.9444 0.8888 0.5544
0.2954 0.5909 0.4090
0.5709 0.1419 0.9414
0.4291 0.8581 0.4414
0.8759 0.7518 0.8028
0.8997 0.7993 0.1473
0.1003 0.2007 0.6473
0.1241 0.2482 0.3028

Entry 2:
RbSI, optimized geometry, DFT PBE; SG = C2/m (12); uncorrected formation energy = -775 meV per atom; ρ = 1.68 g/cm3
1.0
5.1629 0.0005 0.5014
-0.0489 5.1626 0.5014
0.0313 0.0316 18.1334
S Rb I
2 2 2
direct
0.9781 0.9781 0.5529
0.0219 0.0219 0.4471
0.7849 0.7849 0.9005
0.2151 0.2151 0.0995
0.7125 0.7125 0.1071
0.2875 0.2875 0.8929

Entry 3:
NdGa2Pd10, optimized geometry, DFT PBE; SG = Fmmm (69); DOS at the Fermi energy = 7.39 states/eV/cell; calculated formation energy = -0.483 eV per atom; ρ = 10.33 g/cm3
1.0
5.3471 0.0000 0.0000
2.6735 6.4612 0.0000
2.6735 0.0000 6.2708
Pd Ga Nd
10 2 1
direct
0.5073 0.7691 0.2162
0.0084 0.6491 0.3341
0.2765 0.2309 0.2162
0.0000 0.0000 0.5000
0.5000 0.0000 0.5000
0.9916 0.3509 0.6659
0.6575 0.3509 0.3341
0.4927 0.2309 0.7838
0.7235 0.7691 0.7838
0.3425 0.6491 0.6659
0.0000 0.5000 0.0000
0.5000 0.5000 0.0000
0.0000 0.0000 0.0000

Entry 4:
Li2TiAsO6, optimized geometry, DFT PBE; SG = P4mm (99); DOS at the Fermi energy = 4.58 states/eV/cell; uncorrected formation energy = -1819 meV per atom; ρ = 3.19 g/cm3
1.0
4.7672 0.0000 0.0000
0.0000 5.0373 0.0000
0.0000 0.0000 5.0373
O Li Ti As
6 2 1 1
direct
0.7183 0.2396 0.7604
0.2330 0.0000 0.0000
0.7183 0.7604 0.7604
0.7183 0.7604 0.2396
0.7183 0.2396 0.2396
0.2218 0.5000 0.5000
0.9779 0.5000 0.0000
0.9779 0.0000 0.5000
0.5765 0.5000 0.5000
0.5862 0.0000 0.0000

Entry 5:
ReAgIr2, optimized geometry, DFT PBE; SG = I-4m2 (119); DOS at the Fermi energy = 3.49 states/eV/cell; energy above the lowest structure with this stoichiometry = 1.53 eV per formula unit; calculated formation energy = 0.416 eV per atom; ρ = 18.57 g/cm3
1.0
4.8954 0.0030 0.0000
1.8413 4.5359 0.0000
-3.3683 -2.2695 2.7329
Ir Re Ag
2 1 1
direct
0.2500 0.7500 0.5000
0.0000 0.0000 0.0000
0.5000 0.5000 0.0000
0.7500 0.2500 0.5000

Entry 6:
Nd6RhSe3S2, optimized geometry, DFT PBE; SG = C2/m (12); DOS at the Fermi energy = 5.80 states/eV/cell; uncorrected formation energy = -1703 meV per atom; ρ = 6.81 g/cm3
1.0
4.1123 0.0000 0.0000
0.0000 8.4464 0.2636
-2.0562 -2.4734 8.8383
Nd S Se Rh
6 2 3 1
direct
0.6641 0.0920 0.3282
0.6699 0.5727 0.3397
0.3301 0.4273 0.6603
0.3359 0.9080 0.6718
0.9972 0.7650 0.9944
0.0028 0.2350 0.0056
0.8323 0.6662 0.6647
0.1677 0.3338 0.3353
0.5000 0.5000 0.0000
0.1680 0.8309 0.3360
0.8320 0.1691 0.6640
0.5000 0.0000 0.0000

Entry 7:
LaPuS2, optimized geometry, DFT PBE; SG = R3m (160); DOS at the Fermi energy = 6.54 states/eV/cell; energy above the lowest structure with this stoichiometry = 0.46 eV per formula unit; uncorrected formation energy = -1850 meV per atom; ρ = 7.73 g/cm3
1.0
-0.7682 3.0113 -2.4443
-2.9497 -0.2817 -2.6178
-5.7317 3.6346 3.0814
S Pu La
2 1 1
direct
0.2562 0.2562 0.2315
0.0772 0.0772 0.7685
0.6707 0.6707 0.9879
0.4959 0.4959 0.5122

Entry 8:
LiCaAcEu, optimized geometry, DFT PBE; SG = F-43m (216); DOS at the Fermi energy = 4.91 states/eV/cell; calculated formation energy = 0.145 eV per atom; ρ = 4.65 g/cm3
1.0
-3.5896 3.9474 2.7270
-5.8781 -1.0855 0.4169
-2.4312 -1.3327 5.3120
Ca Li Ac Eu
1 1 1 1
direct
0.0000 0.0000 0.0000
0.2500 0.2500 0.2500
0.5000 0.5000 0.5000
0.7500 0.7500 0.7500

Entry 9:
CaSc2P, optimized geometry, DFT PBE; SG = F-43m (216); DOS at the Fermi energy = 6.15 states/eV/cell; calculated formation energy = 0.004 eV per atom; ρ = 3.10 g/cm3
1.0
4.9597 0.0000 0.0000
2.4799 4.2952 0.0000
2.4799 1.4317 4.0496
Ca Sc P
1 2 1
direct
0.5000 0.5000 0.5000
0.0000 0.0000 0.0000
0.2500 0.2500 0.2500
0.7500 0.7500 0.7500

Entry 10:
AgTe5, optimized geometry, DFT PBE; SG = F-43m (216); DOS at the Fermi energy = 4.56 states/eV/cell; energy above the lowest structure with this stoichiometry = 3.19 eV per formula unit; uncorrected formation energy = 532 meV per atom; ρ = 6.89 g/cm3
1.0
0.0000 4.4804 4.4804
4.4804 0.0000 4.4804
4.4804 4.4804 0.0000
Te Ag
5 1
direct
0.1286 0.6238 0.6238
0.6238 0.6238 0.1286
0.6238 0.6238 0.6238
0.2500 0.2500 0.2500
0.6238 0.1286 0.6238
0.0000 0.0000 0.0000

Entry 11:
YSi2Sn2Pt7, optimized geometry, DFT PBE; SG = C2/m (12); DOS at the Fermi energy = 3.26 states/eV/cell; uncorrected formation energy = -689 meV per atom; ρ = 12.25 g/cm3
1.0
3.9507 -0.0033 0.0003
0.0016 3.9507 0.0003
1.9434 1.9410 15.1880
Pt Y Sn Si
7 1 2 2
direct
0.6959 0.6959 0.6085
0.5725 0.0725 0.8522
0.0725 0.5725 0.8522
0.5000 0.5000 0.0000
0.9275 0.4275 0.1478
0.4275 0.9275 0.1478
0.3041 0.3041 0.3915
0.0000 0.0000 0.0000
0.2107 0.2107 0.5774
0.7893 0.7893 0.4226
0.3832 0.3832 0.2375
0.6168 0.6168 0.7625

Entry 12:
BaRuCl2, optimized geometry, DFT PBE; SG = Fm-3m (225); DOS at the Fermi energy = 4.85 states/eV/cell; energy above the lowest structure with this stoichiometry = 1.21 eV per formula unit; uncorrected formation energy = -471 meV per atom; ρ = 5.27 g/cm3
1.0
0.0000 3.6530 3.6530
3.6530 0.0000 3.6530
3.6530 3.6530 0.0000
Ba Cl Ru
1 2 1
direct
0.5000 0.5000 0.5000
0.7500 0.7500 0.7500
0.2500 0.2500 0.2500
0.0000 0.0000 0.0000

| no. | volume (Å³/atom) |
| --- | --- |
| 1 | 21.08 |
| 2 | 80.53 |
| 3 | 16.67 |
| 4 | 12.10 |
| 5 | 15.17 |
| 6 | 25.81 |
| 7 | 24.02 |
| 8 | 38.03 |
| 9 | 21.57 |
| 10 | 29.98 |
| 11 | 19.75 |
| 12 | 24.37 |